Density functional theory data (PBE) for a relaxed structure of Sr2Al9Ni3.

a = 13.168 Å, b = 7.544 Å, c = 10.597 Å
α = 90.00°, β = 114.64°, γ = 90.00°
Space group C2/c (No. 15)
Asymmetric unit:
Sr (0.169, 0.084, 0.250) [8 per cell]
Al (0.000, 0.374, 0.250) [4 per cell]
Al (0.061, 0.085, 0.932) [8 per cell]
Al (0.097, 0.416, 0.044) [8 per cell]
Al (0.102, 0.317, 0.747) [8 per cell]
Al (0.225, 0.419, 0.434) [8 per cell]
Ni (0.084, 0.247, 0.501) [8 per cell]
Ni (0.250, 0.250, 0.000) [4 per cell]

calculated density	4.12	Mg/m³
energy of formation	-0.399	eV per atom
spin magnetization	0.000	μB per cell